Record 1
First-principles (PBE) data for a geometry-optimized AgAsCl6 structure, as listed in the Alexandria database.

Cell lengths 6.4485, 6.4548, 6.8185 Å; angles 61.63, 61.71, 60.10 degrees
Closest atoms and distances in Å follow each position.
Positions (direct):
Cl1 0.9126 0.6322 0.2339  1 As 2.32
Cl2 0.0874 0.3678 0.7661  1 As 2.32
Cl3 0.6332 0.2201 0.2329  1 As 2.32
Cl4 0.3668 0.7799 0.7671  1 As 2.32
Cl5 0.2205 0.9130 0.2335  1 As 2.32
Cl6 0.7795 0.0870 0.7665  1 As 2.32
Ag1 0.5000 0.5000 0.5000  6 Cl 2.70-2.72
As1 0.0000 0.0000 0.0000  6 Cl 2.32

## Properties
Raw formation energy in eV per atom: -0.393
Calculated volume in Å³/atom: 25.72
Space-group type: No. 2



Record 2
First-principles (PBE) data for a geometry-optimized AgAs2Cl structure, as listed in the Alexandria database.

Cell lengths 4.7770, 4.7770, 4.7770 Å; angles 60.00, 60.00, 60.00 degrees
Closest atoms and distances in Å follow each position.
Positions (direct):
Cl1 0.0000 0.0000 0.0000  8 As 2.93
Ag1 0.5000 0.5000 0.5000  8 As 2.93
As1 0.2500 0.2500 0.2500  4 Ag 2.93, 4 Cl 2.93
As2 0.7500 0.7500 0.7500  4 Ag 2.93, 4 Cl 2.93

## Properties
Raw formation energy in eV per atom: 0.477
Calculated volume in Å³/atom: 19.27
Space-group type: No. 225



Record 3
First-principles (PBE) data for a geometry-optimized AgAs2Cl structure, as listed in the Alexandria database.

Cell lengths 4.8090, 4.8090, 4.8090 Å; angles 60.00, 60.00, 60.00 degrees
Closest atoms and distances in Å follow each position.
Positions (direct):
As1 0.2500 0.2500 0.2500  4 Ag 2.94, 4 As 2.94
As2 0.0000 0.0000 0.0000  4 Cl 2.94, 4 As 2.94
Cl1 0.7500 0.7500 0.7500  4 As 2.94, 4 Ag 2.94
Ag1 0.5000 0.5000 0.5000  4 Cl 2.94, 4 As 2.94

## Properties
Raw formation energy in eV per atom: 0.287
Calculated volume in Å³/atom: 19.66
Space-group type: No. 216



Record 4
First-principles (PBE) data for a geometry-optimized AgAs2Cl structure, as listed in the Alexandria database.

Cell lengths 5.0957, 3.6960, 4.7863 Å; angles 83.10, 90.00, 90.00 degrees
Closest atoms and distances in Å follow each position.
Positions (direct):
As1 0.0000 0.9647 0.9242  2 As 2.44-2.53
As2 0.0000 0.5353 0.5758  2 As 2.44-2.53
Cl1 0.5000 0.2500 0.2500  2 Ag 2.84
Ag1 0.5000 0.7500 0.7500  4 As 2.82, 2 Cl 2.84

## Properties
Raw formation energy in eV per atom: -0.031
Calculated volume in Å³/atom: 22.37
Space-group type: No. 10



Record 5
First-principles (PBE) data for a geometry-optimized Ag2AsCl structure, as listed in the Alexandria database.

Cell lengths 3.3001, 3.6827, 7.0703 Å; angles 90.00, 90.00, 90.00 degrees
Closest atoms and distances in Å follow each position.
Positions (direct):
Ag1 0.0000 0.0000 0.0157  1 As 2.77, 4 Cl 2.82, 4 Ag 2.99
Ag2 0.5000 0.5000 0.2544  4 As 2.70, 4 Ag 2.99
Cl1 0.5000 0.5000 0.8225  5 Ag 2.82-3.05
As1 0.0000 0.0000 0.4074  5 Ag 2.70-2.77

## Properties
Raw formation energy in eV per atom: -0.034
Calculated volume in Å³/atom: 21.48
Space-group type: No. 25



Record 6
First-principles (PBE) data for a geometry-optimized AgAs2Cl2 structure, as listed in the Alexandria database.

Cell lengths 6.8226, 6.8226, 4.9835 Å; angles 90.00, 90.00, 90.00 degrees
Closest atoms and distances in Å follow each position.
Positions (direct):
As1 0.6325 0.1325 0.0000  2 Cl 2.52, 1 As 2.56, 2 Ag 2.67
As2 0.3675 0.8675 0.0000  2 Cl 2.52, 1 As 2.56, 2 Ag 2.67
As3 0.8675 0.6325 0.0000  2 Cl 2.52, 1 As 2.56, 2 Ag 2.67
As4 0.1325 0.3675 0.0000  2 Cl 2.52, 1 As 2.56, 2 Ag 2.67
Ag1 0.0000 0.0000 0.0000  4 As 2.67
Ag2 0.5000 0.5000 0.0000  4 As 2.67
Cl1 0.3253 0.8253 0.5000  2 As 2.52
Cl2 0.6747 0.1747 0.5000  2 As 2.52
Cl3 0.1747 0.3253 0.5000  2 As 2.52
Cl4 0.8253 0.6747 0.5000  2 As 2.52

## Properties
Raw formation energy in eV per atom: -0.158
Calculated volume in Å³/atom: 23.20
Space-group type: No. 127



Record 7
First-principles (PBE) data for a geometry-optimized Ag2AsCl structure, as listed in the Alexandria database.

Cell lengths 6.9480, 6.9480, 6.9480 Å; angles 148.49, 148.49, 45.16 degrees
Closest atoms and distances in Å follow each position.
Positions (direct):
As1 0.5000 0.5000 0.0000  4 Ag 2.67
Ag1 0.0000 0.0000 0.0000  4 As 2.67
Ag2 0.2500 0.7500 0.5000  4 Cl 2.67
Cl1 0.7500 0.2500 0.5000  4 Ag 2.67

## Properties
Raw formation energy in eV per atom: 0.174
Calculated volume in Å³/atom: 22.83
Space-group type: No. 119



Record 8
First-principles (PBE) data for a geometry-optimized Ag2AsCl structure, as listed in the Alexandria database.

Cell lengths 4.8556, 4.8556, 4.8556 Å; angles 60.00, 60.00, 60.00 degrees
Closest atoms and distances in Å follow each position.
Positions (direct):
As1 0.5000 0.5000 0.5000  8 Ag 2.97
Cl1 0.0000 0.0000 0.0000  8 Ag 2.97
Ag1 0.2500 0.2500 0.2500  4 Cl 2.97, 4 As 2.97
Ag2 0.7500 0.7500 0.7500  4 As 2.97, 4 Cl 2.97

## Properties
Raw formation energy in eV per atom: 0.341
Calculated volume in Å³/atom: 20.24
Space-group type: No. 225



Record 9
First-principles (PBE) data for a geometry-optimized AgAs2Cl structure, as listed in the Alexandria database.

Cell lengths 3.1066, 3.1066, 8.1097 Å; angles 90.00, 90.00, 90.00 degrees
Closest atoms and distances in Å follow each position.
Positions (direct):
As1 0.0000 0.0000 0.5198  4 Ag 2.88, 4 Cl 3.10, 4 As 3.11
As2 0.0000 0.0000 0.9802  4 Ag 2.88, 4 Cl 3.10, 4 As 3.11
Ag1 0.5000 0.5000 0.7500  8 As 2.88, 4 Ag 3.11
Cl1 0.5000 0.5000 0.2500  8 As 3.10, 4 Cl 3.11

## Properties
Raw formation energy in eV per atom: 0.265
Calculated volume in Å³/atom: 19.57
Space-group type: No. 123



Record 10
First-principles (PBE) data for a geometry-optimized Ag3AsCl6 structure, as listed in the Alexandria database.

Cell lengths 6.8228, 6.7991, 10.2998 Å; angles 90.00, 91.34, 90.00 degrees
Closest atoms and distances in Å follow each position.
Positions (direct):
As1 0.0000 0.0000 0.0000  6 Cl 2.52-2.56
As2 0.5000 0.5000 0.5000  6 Cl 2.52-2.56
Cl1 0.3189 0.8270 0.0557  1 As 2.53, 2 Ag 2.61-2.68
Cl2 0.1577 0.3111 0.0839  1 As 2.52, 2 Ag 2.65-2.82
Cl3 0.6180 0.4096 0.2735  1 As 2.56, 2 Ag 2.64-2.76
Cl4 0.3820 0.5904 0.7265  1 As 2.56, 2 Ag 2.64-2.76
Cl5 0.8189 0.6730 0.5557  1 As 2.53, 2 Ag 2.61-2.68
Cl6 0.8423 0.6889 0.9161  1 As 2.52, 2 Ag 2.65-2.82
Cl7 0.6577 0.1889 0.5839  1 As 2.52, 2 Ag 2.65-2.82
Cl8 0.1811 0.3270 0.4443  1 As 2.53, 2 Ag 2.61-2.68
Cl9 0.6811 0.1730 0.9443  1 As 2.53, 2 Ag 2.61-2.68
Cl10 0.1180 0.0904 0.7735  1 As 2.56, 2 Ag 2.64-2.76
Cl11 0.8820 0.9096 0.2265  1 As 2.56, 2 Ag 2.64-2.76
Cl12 0.3423 0.8111 0.4161  1 As 2.52, 2 Ag 2.65-2.82
Ag1 0.5000 0.5000 0.0000  4 Cl 2.61-2.82
Ag2 0.0000 0.0000 0.5000  4 Cl 2.61-2.82
Ag3 0.0008 0.4568 0.7399  4 Cl 2.64-2.76
Ag4 0.4992 0.9568 0.7601  4 Cl 2.64-2.76
Ag5 0.5008 0.0432 0.2399  4 Cl 2.64-2.76
Ag6 0.9992 0.5432 0.2601  4 Cl 2.64-2.76

## Properties
Raw formation energy in eV per atom: -0.493
Calculated volume in Å³/atom: 23.88
Space-group type: No. 14



Record 11
First-principles (PBE) data for a geometry-optimized Ag2AsCl structure, as listed in the Alexandria database.

Cell lengths 3.2313, 3.2307, 7.4499 Å; angles 90.00, 90.00, 90.00 degrees
Closest atoms and distances in Å follow each position.
Positions (direct):
Ag1 0.0000 0.0000 0.0125  4 As 2.89, 4 Cl 3.01, 4 Ag 3.23
Ag2 0.0000 0.0000 0.4875  4 As 2.89, 4 Cl 3.01, 4 Ag 3.23
Cl1 0.5000 0.5000 0.7500  8 Ag 3.01, 4 Cl 3.23
As1 0.5000 0.5000 0.2500  8 Ag 2.89, 4 As 3.23

## Properties
Raw formation energy in eV per atom: 0.023
Calculated volume in Å³/atom: 19.44
Space-group type: No. 123



Record 12
First-principles (PBE) data for a geometry-optimized AgAs2Cl structure, as listed in the Alexandria database.

Cell lengths 6.6255, 6.6255, 6.6255 Å; angles 147.99, 143.98, 48.95 degrees
Closest atoms and distances in Å follow each position.
Positions (direct):
Cl1 0.5501 0.5501 0.0000  2 Ag 3.14, 6 As 3.15-3.32
As1 0.9227 0.9227 0.0000  2 As 2.51
As2 0.7801 0.2801 0.5000  2 As 2.51, 4 Ag 2.77
Ag1 0.2471 0.7471 0.5000  6 As 2.77-2.95

## Properties
Raw formation energy in eV per atom: 0.026
Calculated volume in Å³/atom: 22.56
Space-group type: No. 44



Record 13
First-principles (PBE) data for a geometry-optimized AgAs2Cl structure, as listed in the Alexandria database.

Cell lengths 8.7536, 8.7536, 8.7536 Å; angles 21.65, 21.65, 21.65 degrees
Closest atoms and distances in Å follow each position.
Positions (direct):
As1 0.4953 0.4953 0.4953  3 Ag 2.77, 3 Cl 2.95
As2 0.0047 0.0047 0.0047  3 Ag 2.77, 3 Cl 2.95
Ag1 0.7500 0.7500 0.7500  6 As 2.77
Cl1 0.2500 0.2500 0.2500  6 As 2.95, 6 Cl 3.29

## Properties
Raw formation energy in eV per atom: 0.313
Calculated volume in Å³/atom: 20.00
Space-group type: No. 166



Record 14
First-principles (PBE) data for a geometry-optimized AgAs2Cl structure, as listed in the Alexandria database.

Cell lengths 5.5670, 3.0595, 5.5107 Å; angles 63.14, 90.00, 90.00 degrees
Closest atoms and distances in Å follow each position.
Positions (direct):
Ag1 0.5000 0.9417 0.6320  3 As 2.71-3.03, 2 Cl 2.94
As1 0.5000 0.9458 0.1232  3 Ag 2.71-3.03, 2 As 2.79
As2 0.0000 0.9514 0.1407  1 Cl 2.29
Cl1 0.0000 0.6610 0.6042  1 As 2.29

## Properties
Raw formation energy in eV per atom: 0.071
Calculated volume in Å³/atom: 20.93
Space-group type: No. 6